# CrCd2Cl, optimized geometry, DFT PBE
# Formation energy (no corrections): 0.064 eV/atom
# Polymorph energy (0 for the lowest one): 0.0915 eV/atom
# DOS(E_F): 1.9 states/eV/f.u.
# Final energy: -3.2609 eV/atom
data_CrCd2Cl
_cell_length_a 3.149
_cell_length_b 4.143
_cell_length_c 13.967
_cell_angle_alpha 90.00
_cell_angle_beta 90.00
_cell_angle_gamma 90.00
_space_group_name_H-M_alt 'I m m m'
_space_group_IT_number 71
_space_group_name_Hall '-I 2 2'
loop_
_atom_site_label
_atom_site_type_symbol
_atom_site_fract_x
_atom_site_fract_y
_atom_site_fract_z
Cr1 Cr 0.000 0.000 0.000
Cd1 Cd 0.000 0.500 0.308
Cl1 Cl 0.000 0.000 0.500